# Ac3Nd2Mg2Tl4 PBE-GGA optimized geometry
# E_form (eV/f.u.): -2.23
# Density of states at the Fermi level (states/eV/cell): 12.9
data_Ac3Nd2Mg2Tl4
_chemical_formula_sum 'Ac3 Nd2 Mg2 Tl4'
_cell_length_a 5.2035
_cell_length_b 5.2035
_cell_length_c 16.0255
_cell_angle_alpha 90.00
_cell_angle_beta 90.00
_cell_angle_gamma 120.00
_space_group_name_H-M_alt 'P -3 m 1'
_space_group_IT_number 164
_space_group_name_Hall '-P 3 2"'
loop_
_atom_site_label
_atom_site_fract_x
_atom_site_fract_y
_atom_site_fract_z
Ac1 0.0000 0.0000 0.0000
Ac2 0.0000 0.0000 0.2550
Nd1 0.3333 0.6667 0.5684
Mg1 0.3333 0.6667 0.1274
Tl1 0.3333 0.6667 0.3614
Tl2 0.3333 0.6667 0.8780